# 1
Tb2PmTmTl4, relaxed, DFT PBE; energy = -30.70 eV/cell; volume = 27.828 Å³/atom
1.0
-2.510 2.173 4.249
-4.803 -1.897 1.555
1.578 -5.701 7.270
Tb Pm Tm Tl
2 1 1 4
Direct
0.751 0.751 0.747
0.249 0.249 0.253
0.000 0.000 0.000
0.500 0.500 0.500
0.377 0.377 0.870
0.874 0.874 0.379
0.126 0.126 0.621
0.623 0.623 0.130

***

# 2
Tc3PPb, relaxed, DFT PBE; energy = -26.83 eV/cell; offset from the most stable computed form = 2234 meV per atom; volume = 26.633 Å³/atom
1.0
-1.120 -0.782 4.920
-3.660 -3.293 -1.357
3.380 -3.824 0.162
Pb P Tc
1 1 3
Direct
0.000 0.000 0.000
0.500 0.500 0.500
0.000 0.500 0.000
0.000 0.000 0.500
0.500 0.000 0.000

***

# 3
TeAsCl, relaxed, DFT PBE; energy = -9.04 eV/cell; volume = 27.846 Å³/atom; E_form (uncorrected) = 0.2003 eV per atom
1.0
4.907 0.000 0.000
2.453 4.249 0.000
2.453 1.416 4.006
As Te Cl
1 1 1
Direct
0.000 0.000 0.000
0.250 0.250 0.250
0.500 0.500 0.500

***

# 4
CuBrO2, relaxed, DFT PBE; energy = -32.94 eV/cell; volume = 20.197 Å³/atom; E_form (uncorrected) = -0.1957 eV per atom
1.0
2.286 -2.447 -1.488
-4.504 -0.612 -5.063
4.547 4.954 -1.516
Cu Br O
2 2 4
Direct
0.503 0.088 0.316
0.955 0.755 0.669
0.437 0.619 0.814
0.022 0.231 0.177
0.196 0.093 0.547
0.778 0.856 0.320
0.277 0.984 0.661
0.668 0.747 0.435

***

# 5
RbCd2Te2, relaxed, DFT PBE; energy = -11.46 eV/cell; offset from the most stable computed form = 0 meV per atom; volume = 37.873 Å³/atom; E_form (uncorrected) = -0.4756 eV per atom
1.0
-2.572 4.390 0.474
-4.205 -2.603 1.289
-1.475 1.261 7.865
Te Rb Cd
2 1 2
Direct
0.357 0.357 0.286
0.643 0.643 0.714
0.000 0.000 0.000
0.750 0.250 0.500
0.250 0.750 0.500

***

# 6
RbTl2InC, relaxed, DFT PBE; energy = -10.53 eV/cell; volume = 48.071 Å³/atom
1.0
-1.800 2.997 4.547
-5.143 -5.029 1.279
3.654 -2.886 3.349
Tl C Rb In
2 1 1 1
Direct
0.000 0.000 0.500
0.500 0.000 0.000
0.500 0.500 0.500
0.000 0.500 0.000
0.000 0.000 0.000

***

# 7
Ce3Tl2Os, relaxed, DFT PBE; energy = -68.96 eV/cell; volume = 29.645 Å³/atom
1.0
5.880 0.000 0.000
0.000 7.830 0.004
-2.940 -1.957 7.725
Ce Tl Os
6 4 2
Direct
0.499 0.250 0.000
0.501 0.750 0.000
0.121 0.061 0.244
0.877 0.439 0.756
0.123 0.561 0.244
0.879 0.939 0.756
0.704 0.602 0.406
0.702 0.102 0.406
0.298 0.898 0.594
0.296 0.398 0.594
0.001 0.750 0.000
0.999 0.250 0.000

***

# 8
BaMgW2, relaxed, DFT PBE; energy = -23.88 eV/cell; volume = 21.657 Å³/atom
1.0
5.986 0.001 0.000
-3.191 5.065 0.000
0.000 0.000 2.857
Ba Mg W
1 1 2
Direct
0.500 0.000 0.500
0.000 0.500 0.500
0.000 0.000 0.000
0.500 0.500 0.000

***

What is the formula in the seventh record?
Ce3Tl2Os

***

Which value of volume does entry 2 give?
26.633 Å³/atom

***

Among the records above, which one has the lowest energy?
Ce3Tl2Os

***

Look up the volume of the third one.
27.846 Å³/atom